Here is CaNdHo2Te4 after structural relaxation from Alexandria via LeMat-Bulk. Energies are from PBE.

```
CaNdHo2Te4
1.0
7.644 0.000 0.000
0.000 4.381 0.000
-2.499 0.000 7.270
Ca Nd Ho Te
1 1 2 4
Cartesian
0.000 0.000 0.000
-1.250 2.191 3.635
2.572 0.000 3.635
3.822 2.191 0.000
1.353 2.191 1.815
0.098 0.000 5.505
5.046 0.000 1.765
3.792 2.191 5.455
```

Properties
space-group type = P2/m, No. 10
size of the total moment = 0.0 μB/f.u.
E_form (uncorrected) = -1.383 eV per atom